(1)
This record from Alexandria via LeMat-Bulk describes Ba2CuPtC after structural relaxation. The functional is GGA-PBE.

Unit cell a=5.887 b=5.887 c=3.892 alpha=90.00 beta=90.00 gamma=90.00
Fractional coordinates of all 5 atoms:
C 0.000 0.000 0.000
Ba 0.000 0.500 0.000
Ba 0.500 0.000 0.000
Pt 0.000 0.000 0.500
Cu 0.500 0.500 0.500

Results
ΔE_f = -0.113 eV/atom
Fermi-level density of states = 2.8 states/eV per cell
Volume = 135 Å³ per cell

---

(2)
This record from Alexandria via LeMat-Bulk describes RbBaCuC2 after structural relaxation. The functional is GGA-PBE.

Unit cell a=5.447 b=5.516 c=5.447 alpha=90.00 beta=90.00 gamma=90.00
Fractional coordinates of all 5 atoms:
Cu 0.000 0.500 0.000
C 0.500 0.000 0.000
C 0.000 0.000 0.500
Ba 0.500 0.500 0.500
Rb 0.000 0.000 0.000

Results
ΔE_f = 2.438 eV/atom
Fermi-level density of states = 4.1 states/eV per cell
Volume = 164 Å³ per cell

---

(3)
This record from Alexandria via LeMat-Bulk describes BaCu2SiC after structural relaxation. The functional is GGA-PBE.

Unit cell a=5.655 b=6.038 c=5.655 alpha=90.00 beta=90.00 gamma=90.00
Fractional coordinates of all 5 atoms:
Ba 0.000 0.000 0.000
Cu 0.000 0.000 0.500
Cu 0.500 0.000 0.000
C 0.500 0.500 0.500
Si 0.000 0.500 0.000

Results
Fermi-level density of states = 6.5 states/eV per cell
Formation energy from raw total energies = 2848.0 meV per atom
Volume = 193 Å³ per cell